(1)
## CaSi2Te (GGA-PBEsol)

Data for crystalline CaSi2Te at its relaxed geometry.

N(E_F)   2.360 states/eV/cell
Total magnetization   0.00 μB/f.u.
ΔE to the lowest computed polymorph   193 meV/atom

Geometry as CIF:
```
data_CaSi2Te
_chemical_formula_sum 'Ca1 Si2 Te1'
_space_group_name_H-M_alt 'P 1'
_space_group_IT_number 1
_cell_length_a 5.0182
_cell_length_b 5.0182
_cell_length_c 5.0182
_cell_angle_alpha 60.00
_cell_angle_beta 60.00
_cell_angle_gamma 60.00
loop_
_space_group_symop_operation_xyz
'x,y,z'
loop_
_atom_site_label
_atom_site_fract_x
_atom_site_fract_y
_atom_site_fract_z
_atom_site_occupancy
Si1 0.0000 0.0000 0.0000 1
Si2 0.2500 0.2500 0.2500 1
Ca1 0.5000 0.5000 0.5000 1
Te1 0.7500 0.7500 0.7500 1
```

(2)
## CaSiTe (GGA-PBEsol)

Data for crystalline CaSiTe at its relaxed geometry.

N(E_F)   2.068 states/eV/cell
Total magnetization   0.00 μB/f.u.
ΔE to the lowest computed polymorph   0 meV/atom

Geometry as CIF:
```
data_CaSiTe
_chemical_formula_sum 'Ca1 Si1 Te1'
_space_group_name_H-M_alt 'P 1'
_space_group_IT_number 1
_cell_length_a 3.7174
_cell_length_b 3.7174
_cell_length_c 5.7589
_cell_angle_alpha 108.83
_cell_angle_beta 108.83
_cell_angle_gamma 90.00
loop_
_space_group_symop_operation_xyz
'x,y,z'
loop_
_atom_site_label
_atom_site_fract_x
_atom_site_fract_y
_atom_site_fract_z
_atom_site_occupancy
Si1 0.6829 0.6829 0.3658 1
Te1 0.3154 0.3154 0.6307 1
Ca1 0.0017 0.0017 0.0034 1
```